Computed, not measured: an optimized crystal structure of HfBiAsBr2 at the PBE-GGA level of DFT.

a = 5.1513 Å, b = 5.1513 Å, c = 5.4982 Å
α = 90.00°, β = 90.00°, γ = 90.00°
With the nearest neighbours (Å) after each atom.
Fractional coordinates of all 5 atoms:
As  0.0000  0.0000  0.5000  2 Hf 2.75
Br  0.5000  0.0000  0.0000  2 Hf 2.58
Br  0.0000  0.5000  0.0000  2 Hf 2.58
Bi  0.5000  0.5000  0.5000  4 As 3.64, 8 Br 3.77
Hf  0.0000  0.0000  0.0000  4 Br 2.58, 2 As 2.75

Computed properties:
formation energy from raw total energies = -0.183 eV per atom



Computed, not measured: an optimized crystal structure of NaDyHo at the PBE-GGA level of DFT.

a = 3.4747 Å, b = 3.4747 Å, c = 8.4724 Å
α = 101.83°, β = 101.83°, γ = 90.00°
With the nearest neighbours (Å) after each atom.
Fractional coordinates of all 3 atoms:
Na  0.9998  0.9998  0.9995  4 Na 3.47, 4 Ho 3.77, 4 Dy 3.77
Ho  0.3238  0.3238  0.6476  4 Dy 3.43, 4 Ho 3.47, 4 Na 3.77
Dy  0.6764  0.6764  0.3529  4 Ho 3.43, 4 Dy 3.47, 4 Na 3.77

Computed properties:
energy of formation = 0.1635 eV per atom



Computed, not measured: an optimized crystal structure of HfAg3Pt at the PBE-GGA level of DFT.

a = 5.0837 Å, b = 5.0837 Å, c = 5.0837 Å
α = 90.00°, β = 90.00°, γ = 90.00°
With the nearest neighbours (Å) after each atom.
Fractional coordinates of all 5 atoms:
Hf  0.0000  0.0000  0.0000  6 Ag 2.54
Ag  0.5000  0.0000  0.0000  2 Hf 2.54
Ag  0.0000  0.0000  0.5000  2 Hf 2.54
Ag  0.0000  0.5000  0.0000  2 Hf 2.54
Pt  0.5000  0.5000  0.5000  12 Ag 3.59

Computed properties:
energy of formation = 1.6094 eV per atom



For each record above, in turn, the calculated N(E_F) values are 3.718 3.563 4.897 states/eV/f.u..
For each record above, in turn, the calculated energy relative to the lowest polymorph listed for this composition values are 0.0000 0.0205 0.5723 eV per atom.